1.
Computed, not measured: ZnCuPd2 after structural relaxation at the PBE-GGA level of DFT.

Results
**Energy of formation**: -23.3 kJ per mole of atoms

abc: 4.331 4.331 4.331
angles: 60.00 60.00 60.00
Element x y z (fractional)
Zn  0.500  0.500  0.500
Cu  0.750  0.750  0.750
Pd  0.250  0.250  0.250
Pd  0.000  0.000  0.000

2.
Computed, not measured: Y3Sc3ReTe2 after structural relaxation at the PBE-GGA level of DFT.

Results
**Offset from the most stable computed form**: 198.9 meV/atom
**Size of the total moment**: 0.1 μB per cell

abc: 8.074 8.074 3.995
angles: 90.00 90.00 120.00
Element x y z (fractional)
Te  0.333  0.667  0.500
Y  0.247  0.247  0.500
Re  0.000  0.000  0.000
Te  0.667  0.333  0.500
Sc  0.384  0.000  0.000
Y  0.000  0.753  0.500
Y  0.753  0.000  0.500
Sc  0.000  0.384  0.000
Sc  0.616  0.616  0.000

3.
Computed, not measured: ZrAlSnS3 after structural relaxation at the PBE-GGA level of DFT.

Results
**DFT total energy**: -5.4987 eV/atom
**Size of the total moment**: 0.0 μB per cell

abc: 8.073 8.073 9.934
angles: 90.00 90.00 155.48
Element x y z (fractional)
Zr  0.000  0.000  0.500
S  0.054  0.946  0.750
S  0.623  0.377  0.441
Sn  0.258  0.742  0.250
S  0.377  0.623  0.941
Zr  0.000  0.000  0.000
Al  0.454  0.546  0.750
Al  0.546  0.454  0.250
Sn  0.742  0.258  0.750
S  0.946  0.054  0.250
S  0.623  0.377  0.059
S  0.377  0.623  0.559

4.
Computed, not measured: ZrZnNiB after structural relaxation at the PBE-GGA level of DFT.

Results
**DFT total energy**: -5.5320 eV/atom
**Size of the total moment**: 0.0 μB per cell

abc: 4.209 4.209 4.209
angles: 60.00 60.00 60.00
Element x y z (fractional)
B  0.000  0.000  0.000
Ni  0.500  0.500  0.500
Zn  0.750  0.750  0.750
Zr  0.250  0.250  0.250

5.
Computed, not measured: Ba2AgMoS6 after structural relaxation at the PBE-GGA level of DFT.

Results
**DFT total energy**: -5.0679 eV/atom
**Size of the total moment**: 0.0 μB per cell

abc: 6.985 6.985 6.985
angles: 120.00 90.00 120.00
Element x y z (fractional)
Ba  0.250  0.500  0.750
Ba  0.750  0.500  0.250
Ag  0.000  0.000  0.000
S  0.742  0.000  0.258
S  0.258  0.000  0.258
S  0.258  0.517  0.258
Mo  0.500  0.000  0.500
S  0.258  0.000  0.742
S  0.742  0.000  0.742
S  0.742  0.483  0.742

6.
Computed, not measured: Nb4NiAuN2 after structural relaxation at the PBE-GGA level of DFT.

Results
**DFT total energy**: -8.7445 eV/atom
**Size of the total moment**: 0.0 μB per cell

abc: 3.156 3.156 13.235
angles: 90.00 90.00 120.00
Element x y z (fractional)
N  0.667  0.333  0.739
N  0.667  0.333  0.261
Nb  0.333  0.667  0.827
Ni  0.333  0.667  0.500
Au  0.000  0.000  0.000
Nb  0.000  0.000  0.649
Nb  0.000  0.000  0.351
Nb  0.333  0.667  0.173

7.
Computed, not measured: Dy2TmTl3CuAg2 after structural relaxation at the PBE-GGA level of DFT.

Results
**DFT total energy**: -3.6340 eV/atom
**Size of the total moment**: 0.0 μB per cell

abc: 3.849 7.874 7.874
angles: 119.84 90.00 90.00
Element x y z (fractional)
Tl  0.500  0.742  0.742
Tl  0.500  0.259  0.000
Cu  0.000  0.001  0.001
Tl  0.500  0.000  0.259
Tm  0.000  0.397  0.397
Ag  0.500  0.664  0.334
Dy  0.000  0.602  0.000
Dy  0.000  0.000  0.602
Ag  0.500  0.334  0.664

8.
Computed, not measured: Hf3ZrN4 after structural relaxation at the PBE-GGA level of DFT.

Results
**DFT total energy**: -10.5897 eV/atom
**Size of the total moment**: 0.0 μB per cell

abc: 3.178 3.178 10.922
angles: 90.00 90.00 120.00
Element x y z (fractional)
N  0.333  0.667  0.008
N  0.667  0.333  0.742
Hf  0.000  0.000  0.616
Hf  0.667  0.333  0.118
Zr  0.000  0.000  0.883
N  0.000  0.000  0.250
Hf  0.667  0.333  0.383
N  0.333  0.667  0.499

9.
Computed, not measured: Er2AlSiIr after structural relaxation at the PBE-GGA level of DFT.

Results
**DFT total energy**: -6.2310 eV/atom
**Size of the total moment**: 0.0 μB per cell

abc: 5.551 5.551 5.551
angles: 136.78 78.04 118.59
Element x y z (fractional)
Ir  0.718  0.218  0.500
Al  0.999  0.999  0.000
Si  0.279  0.779  0.500
Er  0.706  0.502  0.204
Er  0.298  0.502  0.796

10.
Computed, not measured: LiCu4NiB2 after structural relaxation at the PBE-GGA level of DFT.

Results
**DFT total energy**: -4.1723 eV/atom
**Size of the total moment**: 0.0 μB per cell

abc: 3.710 3.710 5.725
angles: 90.00 90.00 90.00
Element x y z (fractional)
Ni  0.500  0.500  0.000
Cu  0.000  0.500  0.264
B  0.500  0.500  0.500
Cu  0.000  0.500  0.736
Cu  0.500  0.000  0.264
B  0.000  0.000  0.000
Cu  0.500  0.000  0.736
Li  0.000  0.000  0.500

11.
Computed, not measured: TlCoCuSeS2 after structural relaxation at the PBE-GGA level of DFT.

Results
**DFT total energy**: -4.3485 eV/atom
**Size of the total moment**: 0.0 μB per cell

abc: 7.537 7.537 9.483
angles: 90.00 90.00 153.84
Element x y z (fractional)
Cu  0.554  0.446  0.750
Tl  0.237  0.763  0.750
S  0.397  0.603  0.473
Se  0.064  0.936  0.250
S  0.397  0.603  0.027
Cu  0.446  0.554  0.250
Se  0.936  0.064  0.750
Co  0.000  0.000  0.500
S  0.603  0.397  0.973
Tl  0.763  0.237  0.250
Co  0.000  0.000  0.000
S  0.603  0.397  0.527

12.
Computed, not measured: AcGdFe after structural relaxation at the PBE-GGA level of DFT.

Results
**Offset from the most stable computed form**: 0.0 meV/atom
**Size of the total moment**: 0.3 μB per cell
**Energy of formation**: 29.3 kJ per mole of atoms

abc: 4.898 4.898 4.898
angles: 60.00 60.00 60.00
Element x y z (fractional)
Fe  0.250  0.250  0.250
Ac  0.000  0.000  0.000
Gd  0.500  0.500  0.500